Arrangement w

{"formula": "CaB2H2", "functional": "PBE", "state": "relaxed", "cell": [[13.4345, 0.0000, 0.0000], [0.0000, 5.2073, 0.0000], [0.0000, 0.0000, 3.1408]], "species": ["Ca", "Ca", "Ca", "Ca", "B", "B", "B", "B", "B", "B", "B", "B", "H", "H", "H", "H", "H", "H", "H", "H"], "frac_coords": [[0.1026, 0.2500, 0.0040], [0.3974, 0.7500, 0.5040], [0.6026, 0.2500, 0.4960], [0.8974, 0.7500, 0.9960], [0.1929, 0.7500, 0.2712], [0.1930, 0.7500, 0.7600], [0.3070, 0.2500, 0.2600], [0.3071, 0.2500, 0.7712], [0.6929, 0.7500, 0.2288], [0.6930, 0.7500, 0.7400], [0.8070, 0.2500, 0.2400], [0.8071, 0.2500, 0.7288], [0.0000, 0.0000, 0.5000], [0.0000, 0.5000, 0.5000], [0.1108, 0.7500, 0.5165], [0.3892, 0.2500, 0.0165], [0.5000, 0.0000, 0.0000], [0.5000, 0.5000, 0.0000], [0.6108, 0.7500, 0.9835], [0.8892, 0.2500, 0.4835]]}

---

Arrangement x

{"formula": "CaB2H2", "functional": "PBE", "state": "relaxed", "cell": [[17.5843, 0.0000, 0.0000], [0.0000, 3.2415, 0.0000], [0.0000, 0.0000, 3.7393]], "species": ["Ca", "Ca", "Ca", "Ca", "B", "B", "B", "B", "B", "B", "B", "B", "H", "H", "H", "H", "H", "H", "H", "H"], "frac_coords": [[0.1250, 0.2500, 0.2333], [0.3750, 0.7500, 0.7333], [0.6250, 0.2500, 0.2667], [0.8750, 0.7500, 0.7667], [0.0014, 0.2500, 0.8904], [0.2475, 0.2500, 0.7385], [0.2525, 0.7500, 0.2385], [0.4986, 0.7500, 0.3904], [0.5014, 0.2500, 0.6096], [0.7475, 0.2500, 0.7615], [0.7525, 0.7500, 0.2615], [0.9986, 0.7500, 0.1096], [0.0430, 0.7500, 0.3667], [0.0635, 0.2500, 0.7268], [0.4365, 0.7500, 0.2268], [0.4570, 0.2500, 0.8667], [0.5430, 0.7500, 0.1333], [0.5635, 0.2500, 0.7732], [0.9365, 0.7500, 0.2732], [0.9570, 0.2500, 0.6333]]}

---

Arrangement y

{"formula": "CaB2H2", "functional": "PBE", "state": "relaxed", "cell": [[3.3491, 0.0000, 0.0000], [0.0000, 3.5577, 0.0000], [-1.2723, 0.0000, 16.6499]], "species": ["Ca", "Ca", "Ca", "Ca", "B", "B", "B", "B", "B", "B", "B", "B", "H", "H", "H", "H", "H", "H", "H", "H"], "frac_coords": [[0.2115, 0.0006, 0.3860], [0.2115, 0.4994, 0.8860], [0.7885, 0.5006, 0.1140], [0.7885, 0.9994, 0.6140], [0.1125, 0.5010, 0.2539], [0.1125, 0.9990, 0.7539], [0.2507, 0.9999, 0.0072], [0.2507, 0.5001, 0.5072], [0.7493, 0.0001, 0.9928], [0.7493, 0.4999, 0.4928], [0.8875, 0.0010, 0.2461], [0.8875, 0.4990, 0.7461], [0.3289, 0.5013, 0.1962], [0.3289, 0.9987, 0.6962], [0.3584, 0.5009, 0.3132], [0.3584, 0.9991, 0.8132], [0.6416, 0.0009, 0.1868], [0.6416, 0.4991, 0.6868], [0.6711, 0.0013, 0.3038], [0.6711, 0.4987, 0.8038]]}

---

Relative to the most stable one, in kJ/mol of atoms, the structures come out at arrangement w 21.5; arrangement x 36.7; arrangement y 0.0.

---

Arrangement w

{"formula": "CaB2H3", "functional": "PBE", "state": "relaxed", "cell": [[16.6389, 0.0000, 0.0000], [0.0000, 3.4284, 0.0000], [0.0000, 0.0000, 3.5371]], "species": ["Ca", "Ca", "Ca", "Ca", "B", "B", "B", "B", "B", "B", "B", "B", "H", "H", "H", "H", "H", "H", "H", "H", "H", "H", "H", "H"], "frac_coords": [[0.1143, 0.2500, 0.0005], [0.3857, 0.7500, 0.5005], [0.6143, 0.2500, 0.4995], [0.8857, 0.7500, 0.9995], [0.0222, 0.7500, 0.4486], [0.2504, 0.2500, 0.5222], [0.2496, 0.7500, 0.0222], [0.4778, 0.2500, 0.9486], [0.5222, 0.7500, 0.0514], [0.7504, 0.2500, 0.9778], [0.7496, 0.7500, 0.4778], [0.9778, 0.2500, 0.5514], [0.0295, 0.7500, 0.1022], [0.0948, 0.7500, 0.5434], [0.1775, 0.7500, 0.0542], [0.3225, 0.2500, 0.5542], [0.4052, 0.2500, 0.0434], [0.4705, 0.2500, 0.6022], [0.5295, 0.7500, 0.3978], [0.5948, 0.7500, 0.9566], [0.6775, 0.7500, 0.4458], [0.8225, 0.2500, 0.9458], [0.9052, 0.2500, 0.4566], [0.9705, 0.2500, 0.8978]]}

---

Arrangement x

{"formula": "CaB2H3", "functional": "PBE", "state": "relaxed", "cell": [[3.5138, 0.0000, 0.0000], [0.0000, 3.6065, 0.0000], [-1.0118, 0.0000, 16.6473]], "species": ["Ca", "Ca", "Ca", "Ca", "B", "B", "B", "B", "B", "B", "B", "B", "H", "H", "H", "H", "H", "H", "H", "H", "H", "H", "H", "H"], "frac_coords": [[0.2162, 0.0471, 0.3834], [0.2162, 0.4529, 0.8834], [0.7838, 0.5471, 0.1166], [0.7838, 0.9529, 0.6166], [0.1119, 0.5409, 0.2531], [0.1119, 0.9591, 0.7531], [0.2528, 0.5552, 0.5114], [0.2528, 0.9448, 0.0114], [0.7472, 0.0552, 0.9886], [0.7472, 0.4448, 0.4886], [0.8881, 0.0409, 0.2469], [0.8881, 0.4591, 0.7469], [0.2621, 0.6351, 0.0426], [0.2621, 0.8649, 0.5426], [0.3174, 0.5374, 0.1949], [0.3174, 0.9626, 0.6949], [0.3535, 0.5438, 0.3105], [0.3535, 0.9562, 0.8105], [0.6465, 0.0438, 0.1895], [0.6465, 0.4562, 0.6895], [0.6826, 0.0374, 0.3051], [0.6826, 0.4626, 0.8051], [0.7379, 0.1351, 0.4574], [0.7379, 0.3649, 0.9574]]}

---

Relative to the most stable one, in kJ/mol of atoms, the structures come out at arrangement w 15.9; arrangement x 0.0.

---

Arrangement w

{"formula": "CaBH2", "functional": "PBE", "state": "relaxed", "cell": [[3.9279, 0.0000, 0.0000], [0.0000, 3.9279, 0.0000], [0.0000, 0.0000, 9.9017]], "species": ["Ca", "Ca", "Ca", "Ca", "B", "B", "B", "B", "H", "H", "H", "H", "H", "H", "H", "H"], "frac_coords": [[0.0000, 0.2500, 0.3750], [0.0000, 0.7500, 0.6250], [0.5000, 0.2500, 0.1250], [0.5000, 0.7500, 0.8750], [0.0000, 0.2500, 0.8750], [0.0000, 0.7500, 0.1250], [0.5000, 0.2500, 0.6250], [0.5000, 0.7500, 0.3750], [0.0000, 0.0000, 0.0000], [0.0000, 0.5000, 0.0000], [0.2500, 0.2500, 0.7500], [0.2500, 0.7500, 0.2500], [0.5000, 0.0000, 0.5000], [0.5000, 0.5000, 0.5000], [0.7500, 0.2500, 0.7500], [0.7500, 0.7500, 0.2500]]}

---

Arrangement x

{"formula": "CaBH2", "functional": "PBE", "state": "relaxed", "cell": [[5.3863, 0.0000, 0.0000], [0.0000, 5.3863, 0.0000], [0.0000, 0.0000, 5.3863]], "species": ["Ca", "Ca", "Ca", "Ca", "B", "B", "B", "B", "H", "H", "H", "H", "H", "H", "H", "H"], "frac_coords": [[0.0000, 0.0000, 0.0000], [0.0000, 0.5000, 0.5000], [0.5000, 0.0000, 0.5000], [0.5000, 0.5000, 0.0000], [0.0000, 0.0000, 0.5000], [0.0000, 0.5000, 0.0000], [0.5000, 0.0000, 0.0000], [0.5000, 0.5000, 0.5000], [0.2500, 0.2500, 0.2500], [0.2500, 0.2500, 0.7500], [0.2500, 0.7500, 0.2500], [0.2500, 0.7500, 0.7500], [0.7500, 0.2500, 0.2500], [0.7500, 0.2500, 0.7500], [0.7500, 0.7500, 0.2500], [0.7500, 0.7500, 0.7500]]}

---

Relative to the most stable one, in kJ/mol of atoms, the structures come out at arrangement w 0.0; arrangement x 27.5.

---

Arrangement w

{"formula": "Ca2BH", "functional": "PBE", "state": "relaxed", "cell": [[6.5174, 0.0000, 0.0000], [0.0000, 6.5174, 0.0000], [0.0000, 0.0000, 6.5174]], "species": ["Ca", "Ca", "Ca", "Ca", "Ca", "Ca", "Ca", "Ca", "B", "B", "B", "B", "H", "H", "H", "H"], "frac_coords": [[0.2500, 0.2500, 0.2500], [0.2500, 0.2500, 0.7500], [0.2500, 0.7500, 0.2500], [0.2500, 0.7500, 0.7500], [0.7500, 0.2500, 0.2500], [0.7500, 0.2500, 0.7500], [0.7500, 0.7500, 0.2500], [0.7500, 0.7500, 0.7500], [0.0000, 0.0000, 0.0000], [0.0000, 0.5000, 0.5000], [0.5000, 0.0000, 0.5000], [0.5000, 0.5000, 0.0000], [0.0000, 0.0000, 0.5000], [0.0000, 0.5000, 0.0000], [0.5000, 0.0000, 0.0000], [0.5000, 0.5000, 0.5000]]}

---

Arrangement x

{"formula": "Ca2BH", "functional": "PBE", "state": "relaxed", "cell": [[6.4251, 0.0000, 0.0000], [0.0000, 6.4251, 0.0000], [0.0000, 0.0000, 7.6139]], "species": ["Ca", "Ca", "Ca", "Ca", "Ca", "Ca", "Ca", "Ca", "B", "B", "B", "B", "H", "H", "H", "H"], "frac_coords": [[0.2161, 0.2500, 0.1250], [0.2500, 0.7161, 0.3750], [0.2500, 0.7839, 0.8750], [0.2839, 0.2500, 0.6250], [0.7161, 0.7500, 0.6250], [0.7500, 0.2161, 0.8750], [0.7500, 0.2839, 0.3750], [0.7839, 0.7500, 0.1250], [0.0000, 0.0000, 0.5000], [0.0000, 0.5000, 0.7500], [0.5000, 0.0000, 0.2500], [0.5000, 0.5000, 0.0000], [0.0000, 0.0000, 0.0000], [0.0000, 0.5000, 0.2500], [0.5000, 0.0000, 0.7500], [0.5000, 0.5000, 0.5000]]}

---

Relative to the most stable one, in kJ/mol of atoms, the structures come out at arrangement w 7.0; arrangement x 0.0.

---

Arrangement w

{"formula": "CaB2H", "functional": "PBE", "state": "relaxed", "cell": [[16.9991, 0.0000, 0.0000], [0.0000, 3.1720, 0.0000], [0.0000, 0.0000, 3.4115]], "species": ["Ca", "Ca", "Ca", "Ca", "B", "B", "B", "B", "B", "B", "B", "B", "H", "H", "H", "H"], "frac_coords": [[0.1161, 0.2500, 0.0335], [0.3839, 0.7500, 0.5335], [0.6161, 0.2500, 0.4665], [0.8839, 0.7500, 0.9665], [0.0125, 0.7500, 0.4425], [0.2493, 0.2500, 0.5327], [0.2507, 0.7500, 0.0328], [0.4875, 0.2500, 0.9425], [0.5125, 0.7500, 0.0575], [0.7493, 0.2500, 0.9672], [0.7507, 0.7500, 0.4672], [0.9875, 0.2500, 0.5575], [0.0379, 0.7500, 0.1065], [0.4621, 0.2500, 0.6065], [0.5379, 0.7500, 0.3935], [0.9621, 0.2500, 0.8935]]}

---

Arrangement x

{"formula": "CaB2H", "functional": "PBE", "state": "relaxed", "cell": [[5.8252, 0.0000, 0.0000], [0.0000, 5.8252, 0.0000], [0.0000, 0.0000, 5.8252]], "species": ["Ca", "Ca", "Ca", "Ca", "B", "B", "B", "B", "B", "B", "B", "B", "H", "H", "H", "H"], "frac_coords": [[0.0000, 0.0000, 0.0000], [0.0000, 0.5000, 0.5000], [0.5000, 0.0000, 0.5000], [0.5000, 0.5000, 0.0000], [0.2500, 0.2500, 0.2500], [0.2500, 0.2500, 0.7500], [0.2500, 0.7500, 0.2500], [0.2500, 0.7500, 0.7500], [0.7500, 0.2500, 0.2500], [0.7500, 0.2500, 0.7500], [0.7500, 0.7500, 0.2500], [0.7500, 0.7500, 0.7500], [0.0000, 0.0000, 0.5000], [0.0000, 0.5000, 0.0000], [0.5000, 0.0000, 0.0000], [0.5000, 0.5000, 0.5000]]}

---

Arrangement y

{"formula": "CaB2H", "functional": "PBE", "state": "relaxed", "cell": [[3.2819, 0.0000, 0.0000], [0.0000, 3.2819, 0.0000], [0.0000, 0.0000, 16.3630]], "species": ["Ca", "Ca", "Ca", "Ca", "B", "B", "B", "B", "B", "B", "B", "B", "H", "H", "H", "H"], "frac_coords": [[0.0000, 0.2500, 0.3750], [0.0000, 0.7500, 0.6250], [0.5000, 0.2500, 0.1250], [0.5000, 0.7500, 0.8750], [0.0000, 0.0000, 0.0000], [0.0000, 0.5000, 0.0000], [0.2500, 0.2500, 0.7500], [0.2500, 0.7500, 0.2500], [0.5000, 0.0000, 0.5000], [0.5000, 0.5000, 0.5000], [0.7500, 0.2500, 0.7500], [0.7500, 0.7500, 0.2500], [0.0000, 0.2500, 0.8750], [0.0000, 0.7500, 0.1250], [0.5000, 0.2500, 0.6250], [0.5000, 0.7500, 0.3750]]}

---

Relative to the most stable one, in kJ/mol of atoms, the structures come out at arrangement w 16.0; arrangement x 139.5; arrangement y 0.0.

---

Arrangement w

{"formula": "CaBHO3", "functional": "PBE", "state": "relaxed", "cell": [[3.6036, 0.0000, 0.0000], [0.0000, 5.4386, 0.0000], [-0.2952, 0.0000, 6.8206]], "species": ["Ca", "Ca", "B", "B", "H", "H", "O", "O", "O", "O", "O", "O"], "frac_coords": [[0.2491, 0.0000, 0.1440], [0.7509, 0.5000, 0.8560], [0.2740, 0.9949, 0.7276], [0.7260, 0.4949, 0.2724], [0.4572, 0.8105, 0.5022], [0.5428, 0.3105, 0.4978], [0.2376, 0.2207, 0.8104], [0.2422, 0.7813, 0.8319], [0.3753, 0.9807, 0.5274], [0.6247, 0.4807, 0.4726], [0.7578, 0.2813, 0.1681], [0.7624, 0.7207, 0.1896]]}

---

Arrangement x

{"formula": "CaBHO3", "functional": "PBE", "state": "relaxed", "cell": [[3.5962, 0.0000, 0.0000], [0.0000, 9.5989, 0.0000], [-3.0062, 0.0000, 7.6024]], "species": ["Ca", "Ca", "Ca", "Ca", "B", "B", "B", "B", "H", "H", "H", "H", "O", "O", "O", "O", "O", "O", "O", "O", "O", "O", "O", "O"], "frac_coords": [[0.0779, 0.0072, 0.2886], [0.0779, 0.4928, 0.7886], [0.9221, 0.5072, 0.2114], [0.9221, 0.9928, 0.7114], [0.2869, 0.2373, 0.0733], [0.2869, 0.2627, 0.5733], [0.7131, 0.7373, 0.4267], [0.7131, 0.7627, 0.9267], [0.2052, 0.7397, 0.6514], [0.2052, 0.7603, 0.1514], [0.7948, 0.2397, 0.8486], [0.7948, 0.2603, 0.3486], [0.0074, 0.6692, 0.5708], [0.0074, 0.8308, 0.0708], [0.3097, 0.1197, 0.5734], [0.3097, 0.3803, 0.0734], [0.4824, 0.6536, 0.2914], [0.4824, 0.8464, 0.7914], [0.5176, 0.1536, 0.2086], [0.5176, 0.3464, 0.7086], [0.6903, 0.6197, 0.9266], [0.6903, 0.8803, 0.4266], [0.9926, 0.1692, 0.9292], [0.9926, 0.3308, 0.4292]]}

---

Relative to the most stable one, in kJ/mol of atoms, the structures come out at arrangement w 1.2; arrangement x 0.0.

---

Arrangement w

{"formula": "CaTaBH2", "functional": "PBE", "state": "relaxed", "cell": [[3.5133, 0.0000, 0.0000], [0.0000, 3.5133, 0.0000], [0.0000, 0.0000, 5.2764]], "species": ["Ca", "Ta", "B", "H", "H"], "frac_coords": [[0.0000, 0.0000, 0.0000], [0.5000, 0.5000, 0.5000], [0.0000, 0.0000, 0.5000], [0.0000, 0.5000, 0.0000], [0.5000, 0.0000, 0.0000]]}

---

Arrangement x

{"formula": "CaTaBH2", "functional": "PBE", "state": "relaxed", "cell": [[3.5114, 0.0000, 0.0000], [0.0000, 3.5114, 0.0000], [0.0000, 0.0000, 7.0497]], "species": ["Ca", "Ta", "B", "H", "H"], "frac_coords": [[0.0000, 0.0000, 0.0000], [0.0000, 0.0000, 0.5000], [0.5000, 0.5000, 0.5000], [0.0000, 0.5000, 0.0000], [0.5000, 0.0000, 0.0000]]}

---

Relative to the most stable one, in kJ/mol of atoms, the structures come out at arrangement w 0.0; arrangement x 26.3.

---

Arrangement w

{"formula": "Ca3HfB", "functional": "PBE", "state": "relaxed", "cell": [[5.8480, 0.0000, 0.0000], [0.0000, 5.8480, 0.0000], [0.0000, 0.0000, 5.8480]], "species": ["Ca", "Ca", "Ca", "Hf", "B"], "frac_coords": [[0.0000, 0.0000, 0.5000], [0.0000, 0.5000, 0.0000], [0.5000, 0.0000, 0.0000], [0.0000, 0.0000, 0.0000], [0.5000, 0.5000, 0.5000]]}

---

Arrangement x

{"formula": "Ca3HfB", "functional": "PBE", "state": "relaxed", "cell": [[5.2749, 0.0000, 0.0000], [0.0000, 5.2749, 0.0000], [0.0000, 0.0000, 5.2749]], "species": ["Ca", "Ca", "Ca", "Hf", "B"], "frac_coords": [[0.0000, 0.0000, 0.5000], [0.0000, 0.5000, 0.0000], [0.5000, 0.0000, 0.0000], [0.5000, 0.5000, 0.5000], [0.0000, 0.0000, 0.0000]]}

---

Relative to the most stable one, in kJ/mol of atoms, the structures come out at arrangement w 108.4; arrangement x 0.0.

---

Arrangement w

{"formula": "CaHgB3", "functional": "PBE", "state": "relaxed", "cell": [[4.4680, 0.0000, 0.0000], [0.0000, 4.4680, 0.0000], [0.0000, 0.0000, 4.4680]], "species": ["Ca", "Hg", "B", "B", "B"], "frac_coords": [[0.0000, 0.0000, 0.0000], [0.5000, 0.5000, 0.5000], [0.0000, 0.5000, 0.5000], [0.5000, 0.0000, 0.5000], [0.5000, 0.5000, 0.0000]]}

---

Arrangement x

{"formula": "CaHgB3", "functional": "PBE", "state": "relaxed", "cell": [[4.8817, 0.0000, 0.0000], [0.0000, 4.8817, 0.0000], [0.0000, 0.0000, 4.8817]], "species": ["Ca", "Hg", "B", "B", "B"], "frac_coords": [[0.0000, 0.0000, 0.0000], [0.5000, 0.5000, 0.5000], [0.0000, 0.0000, 0.5000], [0.0000, 0.5000, 0.0000], [0.5000, 0.0000, 0.0000]]}

---

Relative to the most stable one, in kJ/mol of atoms, the structures come out at arrangement w 0.0; arrangement x 77.8.

---

Arrangement w

{"formula": "CaHg3B", "functional": "PBE", "state": "relaxed", "cell": [[6.0442, 0.0000, 0.0000], [0.0000, 6.0442, 0.0000], [0.0000, 0.0000, 6.0442]], "species": ["Ca", "Hg", "Hg", "Hg", "B"], "frac_coords": [[0.0000, 0.0000, 0.0000], [0.0000, 0.0000, 0.5000], [0.0000, 0.5000, 0.0000], [0.5000, 0.0000, 0.0000], [0.5000, 0.5000, 0.5000]]}

---

Arrangement x

{"formula": "CaHg3B", "functional": "PBE", "state": "relaxed", "cell": [[4.7997, 0.0000, 0.0000], [0.0000, 4.7997, 0.0000], [0.0000, 0.0000, 4.7997]], "species": ["Ca", "Hg", "Hg", "Hg", "B"], "frac_coords": [[0.0000, 0.0000, 0.0000], [0.0000, 0.5000, 0.5000], [0.5000, 0.0000, 0.5000], [0.5000, 0.5000, 0.0000], [0.5000, 0.5000, 0.5000]]}

---

Relative to the most stable one, in kJ/mol of atoms, the structures come out at arrangement w 93.1; arrangement x 0.0.